1.
This record from the Alexandria database describes a geometry-optimized LiIn3Pt2 structure. The functional is GGA-PBE.

Geometry as CIF:
```
data_LiIn3Pt2
_chemical_formula_sum 'Li2 In6 Pt4'
_symmetry_space_group_name_H-M 'P 1'
_symmetry_Int_Tables_number 1
_cell_length_a 4.2123
_cell_length_b 6.3659
_cell_length_c 8.8123
_cell_angle_alpha 90.00
_cell_angle_beta 90.00
_cell_angle_gamma 90.00
loop_
_symmetry_equiv_pos_as_xyz
'x,y,z'
loop_
_atom_site_label
_atom_site_fract_x
_atom_site_fract_y
_atom_site_fract_z
_atom_site_occupancy
In1 0.0000 0.4597 0.9193 1
In2 0.0000 0.3175 0.3172 1
In3 0.5000 0.6605 0.2094 1
In4 0.5000 0.1605 0.7906 1
In5 0.0000 0.9597 0.0807 1
In6 0.0000 0.8175 0.6828 1
Pt1 0.5000 0.7601 0.8996 1
Pt2 0.0000 0.2648 0.6176 1
Pt3 0.5000 0.2601 0.1004 1
Pt4 0.0000 0.7648 0.3824 1
Li1 0.5000 0.0374 0.4486 1
Li2 0.5000 0.5374 0.5514 1
```

Output
formation energy from the elements	-0.451	eV/atom
symmetry	No. 26
density	10.4	g/cm3
magnetization	0.00	μB per formula unit

2.
This record from the Alexandria database describes a geometry-optimized Ac4Bi2TeRh structure. The functional is GGA-PBE.

Geometry as CIF:
```
data_Ac4Bi2TeRh
_chemical_formula_sum 'Ac4 Bi2 Te1 Rh1'
_symmetry_space_group_name_H-M 'P 1'
_symmetry_Int_Tables_number 1
_cell_length_a 4.7222
_cell_length_b 8.2602
_cell_length_c 8.1293
_cell_angle_alpha 109.16
_cell_angle_beta 90.00
_cell_angle_gamma 90.00
loop_
_symmetry_equiv_pos_as_xyz
'x,y,z'
loop_
_atom_site_label
_atom_site_fract_x
_atom_site_fract_y
_atom_site_fract_z
_atom_site_occupancy
Ac1 0.0000 0.2739 0.7722 1
Ac2 0.5000 0.2713 0.2314 1
Ac3 0.5000 0.7287 0.7686 1
Ac4 0.0000 0.7261 0.2278 1
Te1 0.0000 0.0000 0.0000 1
Bi1 0.5000 0.0000 0.5000 1
Bi2 0.0000 0.5000 0.5000 1
Rh1 0.5000 0.5000 0.0000 1
```

Output
symmetry	No. 10
formation energy from raw total energies	-967	meV/atom
density	8.6	g/cm3
magnetization	0.00	μB per formula unit

3.
This record from the Alexandria database describes a geometry-optimized Y2NpRu3 structure. The functional is GGA-PBE.

Geometry as CIF:
```
data_Y2NpRu3
_chemical_formula_sum 'Y2 Np1 Ru3'
_symmetry_space_group_name_H-M 'P 1'
_symmetry_Int_Tables_number 1
_cell_length_a 3.2825
_cell_length_b 5.5977
_cell_length_c 7.5840
_cell_angle_alpha 111.66
_cell_angle_beta 102.50
_cell_angle_gamma 90.00
loop_
_symmetry_equiv_pos_as_xyz
'x,y,z'
loop_
_atom_site_label
_atom_site_fract_x
_atom_site_fract_y
_atom_site_fract_z
_atom_site_occupancy
Ru1 0.3567 0.3567 0.7133 1
Ru2 0.0000 0.0000 0.0000 1
Ru3 0.6433 0.6433 0.2867 1
Y1 0.3318 0.8318 0.6635 1
Y2 0.6682 0.1682 0.3365 1
Np1 0.0000 0.5000 0.0000 1
```

Output
energy relative to the lowest polymorph listed for this composition	444	meV per atom
formation energy from the elements	0.066	eV/atom
symmetry	No. 71
density	9.5	g/cm3
magnetization	1.52	μB per formula unit

4.
This record from the Alexandria database describes a geometry-optimized PmPr6Tm structure. The functional is GGA-PBE.

Geometry as CIF:
```
data_PmPr6Tm
_chemical_formula_sum 'Pm1 Pr6 Tm1'
_symmetry_space_group_name_H-M 'P 1'
_symmetry_Int_Tables_number 1
_cell_length_a 5.2004
_cell_length_b 5.2004
_cell_length_c 10.4013
_cell_angle_alpha 90.00
_cell_angle_beta 90.00
_cell_angle_gamma 90.00
loop_
_symmetry_equiv_pos_as_xyz
'x,y,z'
loop_
_atom_site_label
_atom_site_fract_x
_atom_site_fract_y
_atom_site_fract_z
_atom_site_occupancy
Pr1 0.5000 0.5000 0.5000 1
Pr2 0.0000 0.5000 0.2526 1
Pr3 0.5000 0.0000 0.7474 1
Pr4 0.5000 0.0000 0.2526 1
Pr5 0.0000 0.5000 0.7474 1
Pr6 0.5000 0.5000 0.0000 1
Tm1 0.0000 0.0000 0.5000 1
Pm1 0.0000 0.0000 0.0000 1
```

Output
formation energy from the elements	0.015	eV/atom
symmetry	No. 123
density	6.8	g/cm3
magnetization	0.00	μB per formula unit